Entry from Alexandria: a relaxed structure of Tb12Dy7Bi (PBE).

Properties
E = -4.432 eV/atom
Energy of formation from the pure elements = 14.6 kJ per mole of atoms

The structure in POSCAR format:
```
Tb12Dy7Bi
1.0
8.469 1.687 -1.282
-1.705 8.465 -1.282
1.124 1.687 8.491
Dy Tb Bi
7 12 1
Direct
0.373 0.240 0.780
0.220 0.627 0.760
0.240 0.780 0.373
0.780 0.373 0.240
0.760 0.220 0.627
0.500 0.500 0.500
0.627 0.760 0.220
0.876 0.659 0.532
0.340 0.888 0.010
0.124 0.341 0.468
0.888 0.010 0.340
0.112 0.990 0.660
0.468 0.124 0.341
0.659 0.532 0.876
0.990 0.660 0.112
0.341 0.468 0.124
0.010 0.340 0.888
0.532 0.876 0.659
0.660 0.112 0.990
0.000 0.000 0.000
```

***

Entry from Alexandria: a relaxed structure of Fe2Rh (PBE).

Properties
E = -8.043 eV/atom
Energy of formation from the pure elements = 4.7 kJ per mole of atoms

The structure in POSCAR format:
```
Fe2Rh
1.0
4.731 0.000 0.000
0.000 15.288 0.000
2.365 0.000 4.097
Fe Rh
16 8
Direct
0.000 0.500 0.500
0.164 0.250 0.164
0.333 0.125 0.333
0.500 0.000 0.500
0.327 0.750 0.836
0.164 0.250 0.673
0.333 0.375 0.333
0.500 0.000 0.000
0.500 0.500 0.500
0.000 0.000 0.500
0.500 0.500 0.000
0.673 0.250 0.164
0.667 0.625 0.667
0.836 0.750 0.327
0.667 0.875 0.667
0.836 0.750 0.836
0.333 0.845 0.333
0.667 0.345 0.667
0.333 0.655 0.333
0.667 0.155 0.667
0.000 0.095 0.000
0.000 0.905 0.000
0.000 0.405 0.000
0.000 0.595 0.000
```

***

Entry from Alexandria: a relaxed structure of CeThCuPd (PBE).

Properties
E = -5.982 eV/atom
Energy of formation from the pure elements = -31.0 kJ per mole of atoms

The structure in POSCAR format:
```
CeThCuPd
1.0
5.063 0.000 0.000
2.532 4.385 0.000
2.532 1.462 4.134
Cu Pd Ce Th
1 1 1 1
Direct
0.250 0.250 0.250
0.750 0.750 0.750
0.500 0.500 0.500
0.000 0.000 0.000
```

***

Entry from Alexandria: a relaxed structure of TcTe2S (PBE).

Properties
E = -4.286 eV/atom
Raw formation energy = 908 meV/atom

The structure in POSCAR format:
```
TcTe2S
1.0
1.923 0.000 9.314
-0.961 1.665 9.314
-0.961 -1.665 9.314
S Te Tc
1 2 1
Direct
0.500 0.500 0.500
0.091 0.091 0.091
0.909 0.909 0.909
0.000 0.000 0.000
```

***

| no. | density of states at the Fermi level (states/eV per atom) |
| --- | --- |
| 1 | 1.93 |
| 2 | 1.69 |
| 3 | 1.91 |
| 4 | 0.75 |